Entry 1:
Density functional theory data (PBE-GGA) for an optimized crystal structure of Sb2Br3F5.

Computed properties:
Formation energy (no corrections) = -12.64 eV per formula unit
Symmetry = Ibam (72)
Energy = -70.512 eV for the cell shown

Cell: 8.547 8.693 8.693 Å, 56.32 60.55 60.55°
Positions (direct):
1 F 0.325 0.869 0.481
2 Br 0.415 0.401 0.768
3 F 0.825 0.481 0.869
4 F 0.250 0.500 0.500
5 F 0.013 0.737 0.737
6 Br 0.585 0.599 0.232
7 F 0.987 0.263 0.263
8 F 0.487 0.263 0.263
9 Sb 0.263 0.230 0.243
10 F 0.175 0.519 0.131
11 Br 0.915 0.768 0.401
12 Sb 0.763 0.243 0.230
13 Br 0.085 0.232 0.599
14 Br 0.250 0.000 0.000
15 F 0.750 0.500 0.500
16 Sb 0.737 0.770 0.757
17 F 0.675 0.131 0.519
18 Sb 0.237 0.757 0.770
19 F 0.513 0.737 0.737
20 Br 0.750 0.000 0.000


Entry 2:
Density functional theory data (PBE-GGA) for an optimized crystal structure of Tb5PmY2.

Computed properties:
Symmetry = P-1 (2)
Energy = -81.475 eV for the cell shown
E above lowest polymorph = 0 meV per atom

Cell: 6.776 13.538 9.254 Å, 72.02 137.02 114.96°
Positions (direct):
1 Tb 0.291 0.938 0.666
2 Y 0.041 0.563 0.167
3 Pm 0.796 0.689 0.668
4 Tb 0.462 0.689 0.834
5 Tb 0.542 0.814 0.166
6 Y 0.959 0.437 0.833
7 Tb 0.538 0.311 0.166
8 Tb 0.709 0.062 0.334
9 Tb 0.042 0.062 0.166
10 Pm 0.204 0.311 0.332
11 Y 0.291 0.437 0.668
12 Tb 0.210 0.814 0.335
13 Tb 0.958 0.938 0.834
14 Tb 0.790 0.186 0.665
15 Tb 0.458 0.186 0.834
16 Y 0.709 0.563 0.332